# 1
Compound: BeIn2
Source: Alexandria via LeMat-Bulk
Functional: PBE-GGA
Structure: optimized geometry

Unit cell a=3.9616 b=5.1055 c=6.6759 alpha=74.86 beta=70.86 gamma=90.06
Closest atoms and distances in Å follow each position.
Fractional positions:
Be  0.7769  0.1115  0.4541  2 Be 2.27-2.29
Be  0.2231  0.8885  0.5459  2 Be 2.27-2.29
In  0.5456  0.7960  0.8587  3 Be 2.61-2.76
In  0.1445  0.3362  0.6919  4 Be 2.69-2.91
In  0.4544  0.2040  0.1413  3 Be 2.61-2.76
In  0.8555  0.6638  0.3081  4 Be 2.69-2.91

Offset from the most stable computed form, meV/atom: 7
Calculated formation energy, eV/atom: 0.240

***

# 2
Compound: BeIn2
Source: Alexandria via LeMat-Bulk
Functional: PBE-GGA
Structure: optimized geometry

Unit cell a=12.9598 b=12.7337 c=12.7337 alpha=165.74 beta=166.17 gamma=19.82
Closest atoms and distances in Å follow each position.
Fractional positions:
In  0.9914  0.1943  0.7971  4 Be 2.77-2.92
In  0.9939  0.9422  0.0517  4 Be 2.73-2.82, 1 In 2.92
In  0.0061  0.0578  0.9483  4 Be 2.73-2.82, 1 In 2.92
In  0.0086  0.8057  0.2029  4 Be 2.77-2.92
Be  0.4933  0.3762  0.1172  8 In 2.73-2.92
Be  0.5067  0.6238  0.8828  8 In 2.73-2.92

Offset from the most stable computed form, meV/atom: 140
Calculated formation energy, eV/atom: 0.374

***

# 3
Compound: BeIn2
Source: Alexandria via LeMat-Bulk
Functional: PBE-GGA
Structure: optimized geometry

Unit cell a=4.4331 b=4.4550 c=4.4273 alpha=119.60 beta=90.00 gamma=119.84
Closest atoms and distances in Å follow each position.
Fractional positions:
In  0.2501  0.5001  0.7500  4 Be 2.72-2.73
In  0.7499  0.4999  0.2500  4 Be 2.72-2.73
Be  0.0000  0.0000  0.0000  8 In 2.72-2.73

Offset from the most stable computed form, meV/atom: 20
Calculated formation energy, eV/atom: 0.254

***

# 4
Compound: Be3In2
Source: Alexandria via LeMat-Bulk
Functional: PBE-GGA
Structure: optimized geometry

Unit cell a=8.5401 b=7.9200 c=4.7367 alpha=80.62 beta=66.20 gamma=33.18
Closest atoms and distances in Å follow each position.
Fractional positions:
Be  0.2891  0.4505  0.8731  4 Be 2.26-2.37
Be  0.1147  0.8853  0.8853  4 Be 2.26-2.34
Be  0.3647  0.1353  0.1353  4 Be 2.26-2.34
Be  0.3769  0.8627  0.9609  4 Be 2.26-2.37
Be  0.3873  0.8731  0.4505  4 Be 2.26-2.37
Be  0.7995  0.9609  0.8627  4 Be 2.26-2.37
In  0.9735  0.4307  0.8603  7 Be 2.63-2.86
In  0.3897  0.5145  0.2765  7 Be 2.63-2.86
In  0.7355  0.8603  0.4307  7 Be 2.63-2.86
In  0.8193  0.2765  0.5145  7 Be 2.63-2.86

Calculated formation energy, eV/atom: 0.407

***

Total energy
In order: -2.827; -2.694; -2.814; -2.924
Unit: eV/atom
Theoretical density
In order: 6.47; 6.41; 6.36; 5.67
Unit: g cm⁻³
Spin magnetization
In order: 0.000; 0.000; 0.000; 0.000
Unit: μB per cell